The following is a PBE calculation of crystalline MnHg2Cl8 at its relaxed geometry, from Alexandria via LeMat-Bulk.

a b c (Å): 12.3415 6.7254 10.1506
angles (deg): 90.00 112.61 90.00
With the nearest neighbours (Å) after each atom.
Space group C2/m (No. 12)
Asymmetric unit:
Mn1 0.0000 0.0000 0.0000 [2 per cell]  6 Cl 2.26-2.37
Hg1 0.1657 0.0000 0.3517 [4 per cell]  2 Cl 2.33-2.45
Cl1 0.0452 0.0000 0.7932 [4 per cell]  1 Mn 2.37, 1 Hg 2.45
Cl2 0.1373 0.2358 0.1003 [8 per cell]  1 Mn 2.26
Cl3 0.1504 0.5000 0.4624 [4 per cell]  1 Hg 2.33

Its electronic total energy is -63.19 eV for the cell shown. For the uncorrected formation energy, the calculation gives -641 meV/atom. The calculation puts the size of the total moment at 0.28 μB per atom. For the calculated density, the calculation gives 3.2 Mg/m³.